1.
First-principles (PBE) data for a geometry-optimized TiZn2Mo2 structure, as listed in the Alexandria database.

Summary:
Energy of formation = 0.156 eV/atom
Uncorrected energy = -31.33 eV per formula unit

abc: 6.698 6.698 3.428
angles: 90.00 90.00 90.00
Positions (direct):
Mo (0.175, 0.675, 0.500)
Mo (0.675, 0.825, 0.500)
Mo (0.825, 0.325, 0.500)
Mo (0.325, 0.175, 0.500)
Zn (0.374, 0.874, 0.000)
Zn (0.874, 0.626, 0.000)
Zn (0.626, 0.126, 0.000)
Zn (0.126, 0.374, 0.000)
Ti (0.000, 0.000, 0.000)
Ti (0.500, 0.500, 0.000)

***

2.
First-principles (PBE) data for a geometry-optimized Ti4ZnMo structure, as listed in the Alexandria database.

Summary:
Energy above the most stable polymorph in this dataset = 2.32 eV/f.u.
Energy of formation = 0.403 eV/atom
Uncorrected energy = -41.27 eV per formula unit

abc: 4.447 4.446 7.095
angles: 71.72 71.74 59.99
Site moments in Bohr magnetons follow the coordinates.
Positions (direct):
Ti (0.631, 0.631, 0.106)  0.02
Ti (0.369, 0.369, 0.894)  0.02
Ti (0.125, 0.126, 0.624)  0.34
Ti (0.875, 0.874, 0.376)  0.34
Zn (0.500, 0.500, 0.500)  -0.01
Mo (0.000, 0.000, 0.000)  -0.04

***

3.
First-principles (PBE) data for a geometry-optimized TiZn2Mo structure, as listed in the Alexandria database.

Summary:
Energy above the most stable polymorph in this dataset = 1.76 eV/f.u.
Energy of formation = 0.337 eV/atom
Uncorrected energy = -19.93 eV per formula unit

abc: 7.108 7.108 5.641
angles: 50.95 50.95 90.00
Positions (direct):
Mo (0.000, 0.000, 0.000)
Mo (0.750, 0.250, 0.500)
Zn (0.628, 0.125, 0.250)
Zn (0.122, 0.625, 0.250)
Zn (0.375, 0.372, 0.750)
Zn (0.875, 0.878, 0.750)
Ti (0.500, 0.500, 0.000)
Ti (0.250, 0.750, 0.500)